# 1
A plane-wave DFT calculation with GGA-PBEsol was carried out for a relaxed structure of CaGa2Se4.

Output
Formation energy (no corrections) = -1.00 eV per atom
DOS at the Fermi energy = 0.00 states/eV per atom

Cell: 12.586 20.849 20.907 Å, 90.00 90.00 90.00°
Space group Fddd (No. 70, origin choice 2)
One atom of each set of equivalent atoms:
Ca (0.125, 0.125, 0.125) (multiplicity 8)
Ca (0.125, 0.125, 0.373) (multiplicity 16)
Ca (0.125, 0.125, 0.625) (multiplicity 8)
Ga (0.084, 0.305, 0.250) (multiplicity 32)
Ga (0.124, 0.260, 0.751) (multiplicity 32)
Se (0.002, 0.000, 0.589) (multiplicity 32)
Se (0.002, 0.000, 0.911) (multiplicity 32)
Se (0.007, 0.092, 0.249) (multiplicity 32)
Se (0.016, 0.086, 0.751) (multiplicity 32)


# 2
A plane-wave DFT calculation with GGA-PBEsol was carried out for a relaxed structure of CaY2GaSe.

Output
Formation energy (no corrections) = -0.57 eV per atom
DOS at the Fermi energy = 0.45 states/eV per atom

Cell: 5.270 5.270 5.251 Å, 90.00 90.00 90.00°
Space group P4/mmm (No. 123)
One atom of each set of equivalent atoms:
Ca (0.000, 0.000, 0.000) (multiplicity 1)
Y (0.000, 0.500, 0.500) (multiplicity 2)
Ga (0.500, 0.500, 0.000) (multiplicity 1)
Se (0.000, 0.000, 0.500) (multiplicity 1)


# 3
A plane-wave DFT calculation with GGA-PBEsol was carried out for a relaxed structure of CaGaSi.

Output
Formation energy (no corrections) = -0.50 eV per atom
DOS at the Fermi energy = 0.30 states/eV per atom

Cell: 4.0994 4.0994 4.2879 Å, 90.00 90.00 120.00°
Space group P-6m2 (No. 187)
One atom of each set of equivalent atoms:
Ca (0.0000, 0.0000, 0.0000) (multiplicity 1)
Ga (0.6667, 0.3333, 0.5000) (multiplicity 1)
Si (0.3333, 0.6667, 0.5000) (multiplicity 1)